{
  "formula": "BeSbCl2",
  "functional": "GGA-PBE",
  "state": "relaxed",
  "sg": "Pmmm, No. 47",
  "raw_formation_energy_ev_per_fu": 1.7,
  "lattice": [[3.211, 0.000, 0.000], [0.000, 4.316, 0.000], [0.000, 0.000, 6.082]],
  "species": ["Be", "Sb", "Cl", "Cl"],
  "fractional_positions": [[0.000, 0.000, 0.000], [0.000, 0.000, 0.500], [0.500, 0.500, 0.244], [0.500, 0.500, 0.756]]
}